(1)
The following is a DFT calculation (PBE+U) of a geometry-optimized NbNiIO2 structure.

Unit cell a=3.8954 b=3.8954 c=6.1012 alpha=90.00 beta=90.00 gamma=90.00
Closest atoms and distances in Å follow each position.
Sites, in units of the cell vectors:
1 I 0.0000 0.0000 0.5000  4 Ni 2.75, 2 Nb 3.05
2 O 0.0000 0.5000 0.0000  2 Nb 1.95
3 O 0.5000 0.0000 0.0000  2 Nb 1.95
4 Ni 0.5000 0.5000 0.5000  4 I 2.75
5 Nb 0.0000 0.0000 0.0000  4 O 1.95

Output
- calculated volume (Å³ per atom) = 18.52

(2)
The following is a DFT calculation (PBE+U) of a geometry-optimized NbNiIO2 structure.

Unit cell a=4.0275 b=4.0275 c=5.0094 alpha=90.00 beta=90.00 gamma=90.00
Closest atoms and distances in Å follow each position.
Sites, in units of the cell vectors:
1 O 0.5000 0.0000 0.0000  2 Ni 2.01
2 Nb 0.5000 0.5000 0.5000  4 I 2.85
3 O 0.0000 0.5000 0.0000  2 Ni 2.01
4 I 0.0000 0.0000 0.5000  2 Ni 2.50
5 Ni 0.0000 0.0000 0.0000  4 O 2.01

Output
- calculated volume (Å³ per atom) = 16.25

Of them, (1) has the highest stability.